Entry 1:
Compound: Ca2ScPb
Source: Alexandria via LeMat-Bulk
Functional: PBE
Structure: relaxed

Cell lengths 3.6191, 3.6192, 9.5433 Å; angles 90.00, 90.00, 90.00 degrees
Closest atoms and distances in Å follow each position.
Fractional positions:
1 Ca 0.0000 0.0000 0.0189  4 Pb 3.38, 4 Ca 3.62, 4 Sc 3.62
2 Ca 0.0000 0.0000 0.4811  4 Pb 3.38, 4 Ca 3.62, 4 Sc 3.62
3 Sc 0.5000 0.5000 0.7500  4 Sc 3.62, 8 Ca 3.62
4 Pb 0.5000 0.5000 0.2500  8 Ca 3.38, 4 Pb 3.62

Summary:
* energy: -14.5 eV/cell
* SG: P4/mmm, No. 123
* E_form: -0.5 eV/f.u.



Entry 2:
Compound: SrLa2Pm
Source: Alexandria via LeMat-Bulk
Functional: PBE
Structure: relaxed

Cell lengths 3.8084, 3.8084, 12.8514 Å; angles 81.48, 81.48, 60.00 degrees
Closest atoms and distances in Å follow each position.
Fractional positions:
1 Sr 0.5001 0.5001 0.4998  6 Sr 3.81, 6 La 4.05
2 Pm 0.6665 0.6665 0.0004  6 La 3.66-3.67, 6 Pm 3.81
3 La 0.2562 0.2562 0.2313  3 Pm 3.66, 6 La 3.81, 3 Sr 4.05
4 La 0.0772 0.0772 0.7685  3 Pm 3.67, 6 La 3.81, 3 Sr 4.05

Summary:
* energy: -16.0 eV/cell
* SG: R3m, No. 160
* E_form: 0.3 eV/f.u.
* offset from the most stable computed form: 0.004 eV per atom



Entry 3:
Compound: Na3CeBi2Te6
Source: Alexandria via LeMat-Bulk
Functional: PBE
Structure: relaxed

Cell lengths 7.8730, 7.8730, 8.0144 Å; angles 99.40, 99.40, 120.01 degrees
Closest atoms and distances in Å follow each position.
Fractional positions:
1 Na 0.5000 0.5000 0.5000  6 Te 3.25-3.31
2 Na 0.8290 0.1710 0.5000  6 Te 3.23-3.34
3 Na 0.1710 0.8290 0.5000  6 Te 3.23-3.34
4 Bi 0.6661 0.3339 0.0000  6 Te 3.17
5 Bi 0.3339 0.6661 0.0000  6 Te 3.17
6 Ce 0.0000 0.0000 0.0000  6 Te 3.21-3.22
7 Te 0.4161 0.0785 0.2369  2 Bi 3.17, 1 Ce 3.21, 3 Na 3.23-3.31
8 Te 0.2577 0.2577 0.7604  2 Bi 3.17, 1 Ce 3.22, 3 Na 3.25-3.34
9 Te 0.0785 0.4161 0.2369  2 Bi 3.17, 1 Ce 3.21, 3 Na 3.23-3.31
10 Te 0.7423 0.7423 0.2396  2 Bi 3.17, 1 Ce 3.22, 3 Na 3.25-3.34
11 Te 0.9215 0.5839 0.7631  2 Bi 3.17, 1 Ce 3.21, 3 Na 3.23-3.31
12 Te 0.5839 0.9215 0.7631  2 Bi 3.17, 1 Ce 3.21, 3 Na 3.23-3.31

Summary:
* energy: -45.8 eV/cell
* SG: C2/m, No. 12
* uncorrected formation energy: -9.29 eV per formula unit



Entry 4:
Compound: NdDy5Y2
Source: Alexandria via LeMat-Bulk
Functional: PBE
Structure: relaxed

Cell lengths 5.0343, 7.1406, 14.2843 Å; angles 90.00, 90.00, 90.00 degrees
Closest atoms and distances in Å follow each position.
Fractional positions:
1 Dy 0.0000 0.0000 0.0000  6 Dy 3.56-3.57, 4 Y 3.57, 2 Nd 3.57
2 Dy 0.0000 0.5000 0.5000  6 Dy 3.56-3.57, 4 Y 3.57, 2 Nd 3.57
3 Dy 0.0000 0.0003 0.2490  7 Dy 3.55-3.57, 4 Y 3.55-3.57, 1 Nd 3.59
4 Dy 0.0000 0.5003 0.2510  7 Dy 3.55-3.57, 4 Y 3.55-3.57, 1 Nd 3.59
5 Dy 0.5000 0.2510 0.3742  4 Y 3.55-3.59, 6 Dy 3.55-3.57, 2 Nd 3.57
6 Dy 0.5000 0.7490 0.6258  4 Y 3.55-3.59, 6 Dy 3.55-3.57, 2 Nd 3.57
7 Dy 0.0000 0.4997 0.7490  7 Dy 3.55-3.57, 4 Y 3.55-3.57, 1 Nd 3.59
8 Dy 0.0000 0.9997 0.7510  7 Dy 3.55-3.57, 4 Y 3.55-3.57, 1 Nd 3.59
9 Dy 0.5000 0.2490 0.8742  4 Y 3.55-3.59, 6 Dy 3.55-3.57, 2 Nd 3.57
10 Dy 0.5000 0.7510 0.1258  4 Y 3.55-3.59, 6 Dy 3.55-3.57, 2 Nd 3.57
11 Y 0.5000 0.2503 0.6257  10 Dy 3.55-3.59, 2 Nd 3.57
12 Y 0.5000 0.2497 0.1257  10 Dy 3.55-3.59, 2 Nd 3.57
13 Y 0.5000 0.7503 0.8743  10 Dy 3.55-3.59, 2 Nd 3.57
14 Y 0.5000 0.7497 0.3743  10 Dy 3.55-3.59, 2 Nd 3.57
15 Nd 0.0000 0.0000 0.5000  8 Dy 3.57-3.59, 4 Y 3.57
16 Nd 0.0000 0.5000 0.0000  8 Dy 3.57-3.59, 4 Y 3.57

Summary:
* energy: -81.1 eV/cell
* SG: Pbam, No. 55
* E_form: 0.1 eV/f.u.
* offset from the most stable computed form: 0.000 eV per atom



Entry 5:
Compound: Y2PbBr
Source: Alexandria via LeMat-Bulk
Functional: PBE
Structure: relaxed

Cell lengths 6.4236, 6.4236, 8.6596 Å; angles 68.23, 68.23, 90.00 degrees
Closest atoms and distances in Å follow each position.
Fractional positions:
1 Br 0.5000 0.5000 0.0000  4 Y 2.89
2 Br 0.2500 0.7500 0.5000  4 Y 2.89
3 Y 0.1354 0.6250 0.2500  2 Br 2.89, 2 Pb 2.96
4 Y 0.3750 0.3854 0.7500  2 Br 2.89, 2 Pb 2.96
5 Y 0.6146 0.1250 0.2500  2 Br 2.89, 2 Pb 2.96
6 Y 0.8750 0.8646 0.7500  2 Br 2.89, 2 Pb 2.96
7 Pb 0.7500 0.2500 0.5000  4 Y 2.96
8 Pb 0.0000 0.0000 0.0000  4 Y 2.96

Summary:
* energy: -39.3 eV/cell
* SG: I-42d, No. 122
* uncorrected formation energy: -1.35 eV per formula unit
* offset from the most stable computed form: 0.433 eV per atom



Entry 6:
Compound: Li2AlAu5
Source: Alexandria via LeMat-Bulk
Functional: PBE
Structure: relaxed

Cell lengths 7.1693, 6.0645, 5.6024 Å; angles 122.82, 129.88, 90.01 degrees
Closest atoms and distances in Å follow each position.
Fractional positions:
1 Au 0.2485 0.7105 0.9318  2 Al 2.69-2.93, 4 Li 2.75-2.87, 3 Au 2.80-2.96
2 Au 0.7751 0.7754 0.5522  1 Al 2.59, 8 Au 2.80-2.86
3 Au 0.6842 0.2225 0.9331  2 Al 2.68-2.93, 4 Li 2.74-2.87, 3 Au 2.80-2.96
4 Au 0.2466 0.2202 0.9282  2 Al 2.68-2.94, 4 Li 2.75-2.87, 3 Au 2.80-2.96
5 Au 0.6851 0.7116 0.9355  2 Al 2.68-2.92, 4 Li 2.75-2.87, 3 Au 2.80-2.96
6 Li 0.1969 0.6948 0.3911  8 Au 2.74-2.87, 1 Li 2.78, 2 Al 3.03-3.04
7 Li 0.7376 0.2399 0.4776  10 Au 2.75-3.05, 1 Li 2.78
8 Al 0.2030 0.2022 0.4046  5 Au 2.59-2.69

Summary:
* energy: -27.3 eV/cell
* SG: P1, No. 1
* E_form: -3.3 eV/f.u.
* offset from the most stable computed form: 0.051 eV per atom



Entry 7:
Compound: TmHfInCu
Source: Alexandria via LeMat-Bulk
Functional: PBE
Structure: relaxed

Cell lengths 4.9349, 4.9349, 4.9349 Å; angles 60.00, 60.00, 60.00 degrees
Closest atoms and distances in Å follow each position.
Fractional positions:
1 Tm 0.0000 0.0000 0.0000  4 In 3.02, 4 Cu 3.02
2 Hf 0.5000 0.5000 0.5000  4 In 3.02, 4 Cu 3.02
3 In 0.2500 0.2500 0.2500  4 Hf 3.02, 4 Tm 3.02
4 Cu 0.7500 0.7500 0.7500  4 Hf 3.02, 4 Tm 3.02

Summary:
* energy: -21.7 eV/cell
* SG: F-43m, No. 216
* E_form: -0.4 eV/f.u.



Entry 8:
Compound: La2SbS5Br
Source: Alexandria via LeMat-Bulk
Functional: PBE
Structure: relaxed

Cell lengths 5.4867, 9.0119, 18.0774 Å; angles 90.00, 90.00, 90.00 degrees
Closest atoms and distances in Å follow each position.
Fractional positions:
1 S 0.2500 0.2166 0.6408  1 Sb 2.46
2 S 0.4397 0.6522 0.1737  1 S 2.08
3 S 0.2500 0.0147 0.1567  2 Sb 2.75, 2 La 3.03-3.04
4 S 0.7500 0.7834 0.3592  1 Sb 2.46
5 S 0.7500 0.4257 0.4587  1 Sb 2.43
6 S 0.7500 0.4853 0.6567  2 Sb 2.75, 2 La 3.03-3.04
7 S 0.4397 0.1522 0.3263  1 S 2.08
8 S 0.7500 0.2834 0.1408  1 Sb 2.46
9 S 0.5603 0.3478 0.8263  1 S 2.08
10 S 0.2500 0.5743 0.5413  1 Sb 2.43
11 S 0.0603 0.6522 0.1737  1 S 2.08
12 S 0.2500 0.7166 0.8592  1 Sb 2.46
13 S 0.9397 0.8478 0.6737  1 S 2.08
14 S 0.9397 0.3478 0.8263  1 S 2.08
15 S 0.0603 0.1522 0.3263  1 S 2.08
16 S 0.7500 0.9853 0.8433  2 Sb 2.75, 2 La 3.03-3.04
17 S 0.7500 0.9257 0.0413  1 Sb 2.43
18 S 0.5603 0.8478 0.6737  1 S 2.08
19 S 0.2500 0.5147 0.3433  2 Sb 2.75, 2 La 3.03-3.04
20 S 0.2500 0.0743 0.9587  1 Sb 2.43
21 Sb 0.2500 0.4842 0.6677  2 S 2.43-2.46
22 Sb 0.7500 0.0158 0.1677  2 S 2.43-2.46
23 Sb 0.7500 0.5158 0.3323  2 S 2.43-2.46
24 Sb 0.2500 0.9842 0.8323  2 S 2.43-2.46
25 Br 0.7500 0.5985 0.9715  4 La 3.14-3.37, 1 S 3.21, 2 Br 3.43
26 Br 0.2500 0.4015 0.0285  4 La 3.14-3.37, 1 S 3.21, 2 Br 3.43
27 Br 0.2500 0.9015 0.4715  4 La 3.14-3.37, 1 S 3.21, 2 Br 3.43
28 Br 0.7500 0.0985 0.5285  4 La 3.14-3.37, 1 S 3.21, 2 Br 3.43
29 La 0.2500 0.8413 0.3004  8 S 2.99-3.04, 1 Br 3.14
30 La 0.7500 0.6587 0.8004  8 S 2.99-3.04, 1 Br 3.14
31 La 0.7500 0.2248 0.9686  7 S 2.99-3.16
32 La 0.2500 0.3413 0.1996  8 S 2.99-3.04, 1 Br 3.14
33 La 0.2500 0.7752 0.0314  7 S 2.99-3.16
34 La 0.7500 0.7248 0.5314  7 S 2.99-3.16
35 La 0.7500 0.1587 0.6996  8 S 2.99-3.04, 1 Br 3.14
36 La 0.2500 0.2752 0.4686  7 S 2.99-3.16

Summary:
* energy: -195.6 eV/cell
* SG: Pnma, No. 62
* uncorrected formation energy: -12.62 eV per formula unit



Entry 9:
Compound: Sr2PW4
Source: Alexandria via LeMat-Bulk
Functional: PBE
Structure: relaxed

Cell lengths 4.5625, 4.5625, 9.0655 Å; angles 75.43, 75.43, 90.00 degrees
Closest atoms and distances in Å follow each position.
Fractional positions:
1 Sr 0.3384 0.3384 0.3232  9 W 3.28-3.56
2 Sr 0.6616 0.6616 0.6768  9 W 3.28-3.56
3 W 0.8719 0.8719 0.2562  1 P 2.17
4 W 0.1281 0.1281 0.7438  1 P 2.17
5 W 0.5000 0.0000 0.0000  2 P 2.28
6 W 0.0000 0.5000 0.0000  2 P 2.28
7 P 0.0000 0.0000 0.0000  6 W 2.17-2.28

Summary:
* energy: -50.9 eV/cell
* SG: I4/mmm, No. 139
* E_form: 9.7 eV/f.u.



Entry 10:
Compound: ErThBeCu
Source: Alexandria via LeMat-Bulk
Functional: PBE
Structure: relaxed

Cell lengths 4.9359, 4.9359, 4.9359 Å; angles 60.00, 60.00, 60.00 degrees
Closest atoms and distances in Å follow each position.
Fractional positions:
1 Cu 0.2500 0.2500 0.2500  4 Er 3.02, 4 Th 3.02
2 Th 0.0000 0.0000 0.0000  4 Be 3.02, 4 Cu 3.02
3 Be 0.7500 0.7500 0.7500  4 Th 3.02, 4 Er 3.02
4 Er 0.5000 0.5000 0.5000  4 Be 3.02, 4 Cu 3.02

Summary:
* energy: -19.7 eV/cell
* SG: F-43m, No. 216
* E_form: 0.1 eV/f.u.



> What is the formula in the third record?

Na3CeBi2Te6



> Which of these has the highest energy?

Ca2ScPb